The following is a DFT calculation (GGA-PBE) of a relaxed Ba2TaMn crystal.

Geometry as POSCAR:
```
Ba2TaMn
1.0
3.453 0.000 0.000
-1.727 2.991 0.000
0.000 0.000 34.137
Ba Ta Mn
6 3 3
Cartesian
0.000 0.000 8.546
0.000 0.000 25.591
0.000 1.994 14.212
0.000 1.994 31.304
1.727 0.997 2.833
1.727 0.997 19.925
0.000 0.000 0.000
0.000 1.994 22.758
1.727 0.997 11.379
0.000 0.000 17.069
0.000 1.994 5.690
1.727 0.997 28.448
```

Properties
Its density of states at the Fermi level is 1.221 states/eV/atom. For the formation energy, the calculation gives 1.2164 eV/atom. As for the magnetic moment: 13.224 Bohr magnetons per cell. Its energy above the most stable polymorph in this dataset is 631 meV per atom.